[1]
The following is a DFT calculation (GGA-PBE) of crystalline Fe3CoW at its relaxed geometry.

abc: 4.190 4.190 4.190
angles: 90.00 90.00 90.00
Sites, in units of the cell vectors:
Fe: 0.000 0.000 0.500
Fe: 0.000 0.500 0.000
Fe: 0.500 0.000 0.000
Co: 0.000 0.000 0.000
W: 0.500 0.500 0.500

- total magnetization (μB/f.u.) = 8.3
- VASP energy (eV/atom) = -7.81
- energy relative to the lowest polymorph listed for this composition (meV/atom) = 0.0
- ΔE_f (eV/atom) = 1.284



[2]
The following is a DFT calculation (GGA-PBE) of crystalline FeCo2W at its relaxed geometry.

abc: 2.627 2.627 7.193
angles: 90.00 90.00 90.00
Sites, in units of the cell vectors:
Fe: 0.000 0.000 0.000
Co: 0.000 0.000 0.546
Co: 0.500 0.500 0.766
W: 0.500 0.500 0.278

- total magnetization (μB/f.u.) = 5.1
- VASP energy (eV/atom) = -8.77
- ΔE_f (eV/atom) = 0.140



[3]
The following is a DFT calculation (GGA-PBE) of crystalline FeCo6W at its relaxed geometry.

abc: 6.192 6.192 10.121
angles: 90.00 90.00 109.61
Sites, in units of the cell vectors:
Fe: 0.000 0.000 0.248
Fe: 0.000 0.000 0.752
Fe: 0.252 0.748 0.000
Fe: 0.748 0.252 0.000
Co: 0.000 0.000 0.000
Co: 0.000 0.000 0.500
Co: 0.120 0.373 0.123
Co: 0.120 0.373 0.877
Co: 0.124 0.371 0.374
Co: 0.124 0.371 0.626
Co: 0.248 0.752 0.247
Co: 0.248 0.752 0.753
Co: 0.371 0.124 0.374
Co: 0.371 0.124 0.626
Co: 0.373 0.120 0.123
Co: 0.373 0.120 0.877
Co: 0.500 0.500 0.000
Co: 0.500 0.500 0.500
Co: 0.627 0.880 0.123
Co: 0.627 0.880 0.877
Co: 0.629 0.876 0.374
Co: 0.629 0.876 0.626
Co: 0.752 0.248 0.247
Co: 0.752 0.248 0.753
Co: 0.876 0.629 0.374
Co: 0.876 0.629 0.626
Co: 0.880 0.627 0.123
Co: 0.880 0.627 0.877
W: 0.254 0.746 0.500
W: 0.500 0.500 0.249
W: 0.500 0.500 0.751
W: 0.746 0.254 0.500

- total magnetization (μB/f.u.) = 8.8
- VASP energy (eV/atom) = -8.00
- ΔE_f (eV/atom) = 0.009



[4]
The following is a DFT calculation (GGA-PBE) of crystalline FeCo2W at its relaxed geometry.

abc: 4.460 4.460 4.424
angles: 100.43 100.43 34.51
Sites, in units of the cell vectors:
Fe: 0.000 0.000 0.000
Co: 0.256 0.256 0.763
Co: 0.744 0.744 0.237
W: 0.500 0.500 0.500

- total magnetization (μB/f.u.) = 3.8
- VASP energy (eV/atom) = -8.77
- ΔE_f (eV/atom) = 0.141



[5]
The following is a DFT calculation (GGA-PBE) of crystalline FeCoW3 at its relaxed geometry.

abc: 4.405 4.405 4.405
angles: 90.00 90.00 90.00
Sites, in units of the cell vectors:
Fe: 0.000 0.000 0.000
Co: 0.500 0.500 0.500
W: 0.000 0.000 0.500
W: 0.000 0.500 0.000
W: 0.500 0.000 0.000

- total magnetization (μB/f.u.) = 0.0
- VASP energy (eV/atom) = -9.32
- energy relative to the lowest polymorph listed for this composition (meV/atom) = 0.0
- ΔE_f (eV/atom) = 1.570



[6]
The following is a DFT calculation (GGA-PBE) of crystalline FeCo2W at its relaxed geometry.

abc: 2.759 2.759 6.473
angles: 90.00 90.00 90.00
Sites, in units of the cell vectors:
Fe: 0.000 0.000 0.000
Co: 0.500 0.500 0.221
Co: 0.500 0.500 0.779
W: 0.000 0.000 0.500

- total magnetization (μB/f.u.) = 5.0
- VASP energy (eV/atom) = -8.86
- ΔE_f (eV/atom) = 0.044